Record 1
## Pm3Be2Si3 (PBE-GGA)

Data for a geometry-optimized Pm3Be2Si3 structure.

Unit cell a=5.8757 b=5.8757 c=14.0662 alpha=90.00 beta=90.00 gamma=140.09
Element x y z (fractional)
Pm 0.0648 0.9352 0.6067
Pm 0.0648 0.9352 0.8933
Pm 0.3553 0.6447 0.7500
Pm 0.6447 0.3553 0.2500
Pm 0.9352 0.0648 0.1067
Pm 0.9352 0.0648 0.3933
Be 0.2329 0.7671 0.1060
Be 0.2329 0.7671 0.3940
Be 0.7671 0.2329 0.6060
Be 0.7671 0.2329 0.8940
Si 0.3391 0.6609 0.5419
Si 0.3391 0.6609 0.9581
Si 0.3501 0.6499 0.2500
Si 0.6499 0.3501 0.7500
Si 0.6609 0.3391 0.0419
Si 0.6609 0.3391 0.4581

Properties
The space group is Cmcm (63). For the total energy, the calculation gives -84.31 eV for the cell shown. The value obtained for the energy relative to the lowest polymorph listed for this composition is 65.0 meV per atom. The total magnetic moment is 0.27 Bohr magnetons per cell.



Record 2
## PrNd2ErS6 (PBE-GGA)

Data for a geometry-optimized PrNd2ErS6 structure.

Unit cell a=7.4999 b=7.4999 c=7.4999 alpha=56.75 beta=56.75 gamma=56.75
Element x y z (fractional)
Pr 0.0000 0.0000 0.0000
Nd 0.2893 0.2893 0.2893
Nd 0.7930 0.7930 0.7930
Er 0.4947 0.4947 0.4947
S 0.1080 0.6879 0.3967
S 0.2082 0.6019 0.8772
S 0.3967 0.1080 0.6879
S 0.6019 0.8772 0.2082
S 0.6879 0.3967 0.1080
S 0.8772 0.2082 0.6019

Properties
The space group is R3 (146). For the total energy, the calculation gives -63.81 eV for the cell shown. The total magnetic moment is 0.00 Bohr magnetons per cell.



Record 3
## In2HgPt2 (PBE-GGA)

Data for a geometry-optimized In2HgPt2 structure.

Unit cell a=7.7705 b=7.7705 c=7.7705 alpha=150.76 beta=150.76 gamma=41.82
Element x y z (fractional)
In 0.1154 0.1154 0.0000
In 0.8846 0.8846 0.0000
Hg 0.5000 0.5000 0.0000
Pt 0.2500 0.7500 0.5000
Pt 0.7500 0.2500 0.5000

Properties
The space group is I4/mmm (139). For the total energy, the calculation gives -18.56 eV for the cell shown. The value obtained for the energy relative to the lowest polymorph listed for this composition is 193.2 meV per atom. The total magnetic moment is 0.00 Bohr magnetons per cell.



Record 4
## Pd2F13 (PBE-GGA)

Data for a geometry-optimized Pd2F13 structure.

Unit cell a=4.9523 b=6.6353 c=7.4785 alpha=64.86 beta=81.89 gamma=75.41
Element x y z (fractional)
Pd 0.1605 0.1306 0.2213
Pd 0.8395 0.8694 0.7787
F 0.0000 0.0000 0.5000
F 0.1110 0.8749 0.1883
F 0.2014 0.7084 0.8713
F 0.2016 0.3818 0.2653
F 0.3136 0.2490 0.9633
F 0.3780 0.4980 0.5629
F 0.4810 0.0312 0.6798
F 0.5190 0.9688 0.3202
F 0.6220 0.5020 0.4371
F 0.6864 0.7510 0.0367
F 0.7984 0.6182 0.7347
F 0.7986 0.2916 0.1287
F 0.8890 0.1251 0.8117

Properties
The space group is P-1 (2). For the total energy, the calculation gives -46.14 eV for the cell shown. The total magnetic moment is 3.19 Bohr magnetons per cell.



Record 5
## FeSb2Ir (PBE-GGA)

Data for a geometry-optimized FeSb2Ir structure.

Unit cell a=4.6659 b=4.6659 c=4.6659 alpha=60.00 beta=60.00 gamma=60.00
Element x y z (fractional)
Fe 0.0000 0.0000 0.0000
Sb 0.2500 0.2500 0.2500
Sb 0.7500 0.7500 0.7500
Ir 0.5000 0.5000 0.5000

Properties
The space group is Fm-3m (225). For the total energy, the calculation gives -24.56 eV for the cell shown. The value obtained for the energy relative to the lowest polymorph listed for this composition is 355.1 meV per atom. The total magnetic moment is 2.58 Bohr magnetons per cell.



Record 6
## CoNi (PBE-GGA)

Data for a geometry-optimized CoNi structure.

Unit cell a=4.2977 b=4.2977 c=4.3500 alpha=98.86 beta=98.86 gamma=33.26
Element x y z (fractional)
Co 0.1252 0.1252 0.3757
Co 0.8748 0.8748 0.6243
Ni 0.3761 0.3761 0.1261
Ni 0.6239 0.6239 0.8739

Properties
The space group is C2/m (12). For the total energy, the calculation gives -25.76 eV for the cell shown. The total magnetic moment is 4.51 Bohr magnetons per cell.



Record 7
## Hg3Pt2 (PBE-GGA)

Data for a geometry-optimized Hg3Pt2 structure.

Unit cell a=7.5493 b=5.6415 c=8.4914 alpha=60.66 beta=40.65 gamma=78.68
Element x y z (fractional)
Hg 0.0000 0.0000 0.0000
Hg 0.2500 0.2500 0.2500
Hg 0.4854 0.5642 0.3099
Hg 0.5642 0.4854 0.6406
Hg 0.6094 0.9401 0.6858
Hg 0.9401 0.6094 0.7646
Pt 0.1359 0.7562 0.2740
Pt 0.4161 0.9760 0.4938
Pt 0.7562 0.1359 0.8339
Pt 0.9760 0.4161 0.1141

Properties
The space group is Fdd2 (43). For the total energy, the calculation gives -24.83 eV for the cell shown. The value obtained for the energy relative to the lowest polymorph listed for this composition is 84.1 meV per atom. The total magnetic moment is 0.00 Bohr magnetons per cell.



Record 8
## Ho2PaBiO8 (PBE-GGA)

Data for a geometry-optimized Ho2PaBiO8 structure.

Unit cell a=5.0779 b=5.0779 c=7.0168 alpha=90.00 beta=90.00 gamma=91.98
Element x y z (fractional)
Ho 0.0000 0.0000 0.2470
Ho 0.0000 0.0000 0.7530
Pa 0.5000 0.5000 0.5000
Bi 0.5000 0.5000 0.0000
O 0.2001 0.2001 0.5000
O 0.2031 0.2031 0.0000
O 0.3123 0.6877 0.2443
O 0.3123 0.6877 0.7557
O 0.6877 0.3123 0.2443
O 0.6877 0.3123 0.7557
O 0.7969 0.7969 0.0000
O 0.7999 0.7999 0.5000

Properties
The space group is Cmmm (65). For the total energy, the calculation gives -95.61 eV for the cell shown. The total magnetic moment is 0.00 Bohr magnetons per cell.